[1]
Below is crystalline BeSiHg2 at its relaxed geometry, with properties calculated at the PBE level.

It has space group P4/mmm (No. 123), with a = 4.352 Å, b = 4.352 Å, c = 3.930 Å, α = 90.00°, β = 90.00° and γ = 90.00°. The asymmetric unit holds Be at (0.000, 0.000, 0.000), Si at (0.500, 0.500, 0.000) and Hg at (0.000, 0.500, 0.500).

For the total energy, the calculation gives -7.02 eV/cell. As for the formation energy from raw total energies: 15.775 kcal/mol of atoms.



[2]
Below is crystalline Be2SiHg at its relaxed geometry, with properties calculated at the PBE level.

It has space group Immm (No. 71), with a = 2.644 Å, b = 6.057 Å, c = 8.037 Å, α = 90.00°, β = 90.00° and γ = 90.00°. The asymmetric unit holds Be at (0.000, 0.000, 0.235), Si at (0.000, 0.500, 0.500) and Hg at (0.000, 0.500, 0.000).

For the total energy, the calculation gives -21.21 eV/cell. As for the formation energy from raw total energies: 14.818 kcal/mol of atoms.



[3]
Below is crystalline Be2SiHg at its relaxed geometry, with properties calculated at the PBE level.

It has space group P2/m (No. 10), with a = 2.915 Å, b = 3.390 Å, c = 5.696 Å, α = 90.00°, β = 96.56° and γ = 90.00°. The asymmetric unit holds Be at (0.050, 0.000, 0.187), Si at (0.500, 0.500, 0.000) and Hg at (0.500, 0.500, 0.500).

For the total energy, the calculation gives -11.13 eV/cell. As for the formation energy from raw total energies: 11.774 kcal/mol of atoms.



[4]
Below is crystalline BeSi3Hg at its relaxed geometry, with properties calculated at the PBE level.

It has space group Pm-3m (No. 221), with a = 4.428 Å, b = 4.428 Å, c = 4.428 Å, α = 90.00°, β = 90.00° and γ = 90.00°. The asymmetric unit holds Be at (0.000, 0.000, 0.000), Si at (0.000, 0.000, 0.500) and Hg at (0.500, 0.500, 0.500).

For the total energy, the calculation gives -16.79 eV/cell. As for the formation energy from raw total energies: 16.183 kcal/mol of atoms.



[5]
Below is crystalline BeSi3Hg at its relaxed geometry, with properties calculated at the PBE level.

It has space group Pm-3m (No. 221), with a = 5.031 Å, b = 5.031 Å, c = 5.031 Å, α = 90.00°, β = 90.00° and γ = 90.00°. The asymmetric unit holds Be at (0.000, 0.000, 0.000), Si at (0.000, 0.500, 0.500) and Hg at (0.500, 0.500, 0.500).

For the total energy, the calculation gives -11.60 eV/cell. As for the formation energy from raw total energies: 40.123 kcal/mol of atoms.



[6]
Below is crystalline BeSiHg2 at its relaxed geometry, with properties calculated at the PBE level.

It has space group Cmmm (No. 65), with a = 5.790 Å, b = 6.542 Å, c = 4.159 Å, α = 90.00°, β = 90.00° and γ = 90.00°. The asymmetric unit holds Be at (0.000, 0.000, 0.000), Si at (0.000, 0.500, 0.000) and Hg at (0.000, 0.227, 0.500).

For the total energy, the calculation gives -14.68 eV/cell. As for the formation energy from raw total energies: 13.899 kcal/mol of atoms.



[7]
Below is crystalline Be2SiHg at its relaxed geometry, with properties calculated at the PBE level.

It has space group Pmmm (No. 47), with a = 2.685 Å, b = 4.101 Å, c = 5.615 Å, α = 90.00°, β = 90.00° and γ = 90.00°. The asymmetric unit holds Be at (0.000, 0.000, 0.000), Be at (0.500, 0.000, 0.500), Si at (0.000, 0.500, 0.500) and Hg at (0.500, 0.500, 0.000).

For the total energy, the calculation gives -10.54 eV/cell. As for the formation energy from raw total energies: 15.201 kcal/mol of atoms.



[8]
Below is crystalline Be2SiHg at its relaxed geometry, with properties calculated at the PBE level.

It has space group I-42d (No. 122), with a = 4.120 Å, b = 4.120 Å, c = 14.788 Å, α = 90.00°, β = 90.00° and γ = 90.00°. The asymmetric unit holds Be at (0.129, 0.250, 0.125), Si at (0.000, 0.000, 0.000) and Hg at (0.000, 0.000, 0.500).

For the total energy, the calculation gives -45.06 eV/cell. As for the formation energy from raw total energies: 11.022 kcal/mol of atoms.